[1]
CsInI3: optimized geometry, PBE.

Its density is 3426 kg/m³. The formation energy without anion corrections comes out at -0.925 eV/atom.

```
CsInI3
1.0
11.213 -0.318 -0.037
-2.425 10.779 0.391
-4.121 -0.990 10.120
Cs In I
4 4 12
direct
0.723 0.876 0.053
0.277 0.124 0.947
0.748 0.388 0.777
0.252 0.612 0.223
0.725 0.816 0.599
0.800 0.395 0.280
0.275 0.184 0.401
0.200 0.605 0.720
0.535 0.660 0.679
0.104 0.323 0.417
0.465 0.340 0.321
0.896 0.677 0.583
0.121 0.401 0.897
0.406 0.112 0.648
0.879 0.599 0.103
0.594 0.888 0.352
0.864 0.023 0.776
0.657 0.199 0.043
0.136 0.977 0.224
0.343 0.801 0.957
```

***

[2]
CrRe2Se: optimized geometry, PBE.

Its density is 14187 kg/m³. For the energy above the most stable polymorph in this dataset, the calculation gives 75.2 meV per atom. The formation energy without anion corrections comes out at 0.284 eV/atom.

```
CrRe2Se
1.0
-8.553 -0.767 -0.691
-7.898 -3.441 -0.006
-8.237 -1.497 2.031
Cr Re Se
1 2 1
direct
0.754 0.754 0.754
0.002 0.002 0.002
0.252 0.252 0.252
0.491 0.491 0.491
```

***

[3]
YLuSe3: optimized geometry, PBE.

Its density is 5101 kg/m³. For the energy above the most stable polymorph in this dataset, the calculation gives 481.0 meV per atom. The formation energy without anion corrections comes out at -1.399 eV/atom.

```
YLuSe3
1.0
4.876 0.000 0.000
0.000 4.876 0.000
0.000 0.000 6.855
Y Lu Se
1 1 3
direct
0.000 0.000 0.174
0.500 0.500 0.569
0.000 0.000 0.782
0.500 0.000 0.369
0.000 0.500 0.369
```

***

[4]
Sc2Ni9Rh: optimized geometry, PBE.

Its density is 7714 kg/m³. For the energy relative to the elements, the calculation gives -19 kJ per mole of atoms.

```
Sc2Ni9Rh
1.0
4.786 0.000 0.000
2.393 4.144 0.000
2.393 1.381 7.826
Sc Ni Rh
2 9 1
direct
0.866 0.866 0.402
0.134 0.134 0.598
0.667 0.667 0.000
0.333 0.333 0.000
0.500 0.500 0.500
0.415 0.415 0.251
0.919 0.415 0.251
0.415 0.919 0.251
0.585 0.585 0.749
0.585 0.081 0.749
0.081 0.585 0.749
0.000 0.000 0.000
```

***

[5]
Na3PaBi2Se6: optimized geometry, PBE.

Its density is 5935 kg/m³. The formation energy without anion corrections comes out at -0.894 eV/atom.

```
Na3PaBi2Se6
1.0
7.457 -0.001 0.001
-3.728 6.459 0.001
-1.244 -2.154 6.922
Na Pa Bi Se
3 1 2 6
direct
0.175 0.825 0.500
0.825 0.175 0.500
0.500 0.500 0.500
0.000 0.000 0.000
0.335 0.665 0.000
0.665 0.335 0.000
0.922 0.599 0.765
0.757 0.757 0.236
0.078 0.401 0.235
0.599 0.922 0.765
0.243 0.243 0.764
0.401 0.078 0.235
```

***

[6]
Zn2Ir: optimized geometry, PBE.

Its density is 12313 kg/m³. For the energy relative to the elements, the calculation gives -8 kJ per mole of atoms.

```
Zn2Ir
1.0
1.404 -6.774 0.000
1.404 6.774 0.000
0.000 0.000 4.582
Zn Ir
4 2
direct
0.890 0.110 0.250
0.561 0.439 0.250
0.439 0.561 0.750
0.110 0.890 0.750
0.226 0.774 0.250
0.774 0.226 0.750
```

***

[7]
CeSm8Dy5: optimized geometry, PBE.

Its density is 7617 kg/m³. For the energy relative to the elements, the calculation gives 25 kJ per mole of atoms.

```
CeSm8Dy5
1.0
8.131 0.000 -2.465
-4.214 6.735 -3.013
0.296 0.000 8.492
Ce Sm Dy
1 8 5
direct
0.250 0.500 0.750
0.170 0.733 0.068
0.932 0.102 0.665
0.720 0.252 0.325
0.675 0.395 0.927
0.532 0.605 0.280
0.563 0.898 0.830
0.335 0.267 0.437
0.073 0.748 0.468
0.037 0.317 0.134
0.866 0.903 0.182
0.818 0.683 0.721
0.500 0.000 0.500
0.279 0.097 0.963
```

***

[8]
TbSc2Pd2: optimized geometry, PBE.

Its density is 6768 kg/m³. For the energy relative to the elements, the calculation gives -63 kJ per mole of atoms.

```
TbSc2Pd2
1.0
4.552 0.000 0.000
0.000 4.966 0.045
0.000 -1.126 10.013
Tb Sc Pd
2 4 4
direct
0.250 0.698 0.235
0.750 0.302 0.765
0.250 0.829 0.891
0.750 0.171 0.109
0.250 0.252 0.502
0.750 0.748 0.498
0.250 0.778 0.630
0.750 0.222 0.370
0.250 0.336 0.980
0.750 0.664 0.020
```

***

Copy entry 4 word for word.
Sc2Ni9Rh: optimized geometry, PBE.

Its density is 7714 kg/m³. For the energy relative to the elements, the calculation gives -19 kJ per mole of atoms.

```
Sc2Ni9Rh
1.0
4.786 0.000 0.000
2.393 4.144 0.000
2.393 1.381 7.826
Sc Ni Rh
2 9 1
direct
0.866 0.866 0.402
0.134 0.134 0.598
0.667 0.667 0.000
0.333 0.333 0.000
0.500 0.500 0.500
0.415 0.415 0.251
0.919 0.415 0.251
0.415 0.919 0.251
0.585 0.585 0.749
0.585 0.081 0.749
0.081 0.585 0.749
0.000 0.000 0.000
```